## i
The following is a PBE calculation of crystalline Mg3Te at its relaxed geometry, from the Alexandria database.

## Properties
M_tot   0.000 μB/atom
Symmetry   No. 221

Cell lengths 5.8616, 5.8616, 5.8616 Å; angles 90.00, 90.00, 90.00 degrees
Closest atoms and distances in Å follow each position.
Atoms (fractional coordinates):
Mg (0.0000, 0.0000, 0.5000)  2 Te 2.93
Mg (0.0000, 0.5000, 0.0000)  2 Te 2.93
Mg (0.5000, 0.0000, 0.0000)  2 Te 2.93
Te (0.0000, 0.0000, 0.0000)  6 Mg 2.93

## ii
The following is a PBE calculation of crystalline Mg3Te at its relaxed geometry, from the Alexandria database.

## Properties
M_tot   0.000 μB/atom
Symmetry   No. 225

Cell lengths 5.2382, 5.2382, 5.2382 Å; angles 60.00, 60.00, 60.00 degrees
Closest atoms and distances in Å follow each position.
Atoms (fractional coordinates):
Mg (0.0000, 0.0000, 0.0000)  8 Mg 3.21
Mg (0.2500, 0.2500, 0.2500)  4 Mg 3.21, 4 Te 3.21
Mg (0.7500, 0.7500, 0.7500)  4 Te 3.21, 4 Mg 3.21
Te (0.5000, 0.5000, 0.5000)  8 Mg 3.21

Structures ranked by computed energy, the most stable listed first: ii, i.

## i
The following is a PBE calculation of crystalline Mg3Te at its relaxed geometry, from the Alexandria database.

## Properties
M_tot   0.000 μB/atom
Symmetry   No. 59

Cell lengths 5.2169, 6.2642, 6.1443 Å; angles 90.00, 90.00, 90.00 degrees
Closest atoms and distances in Å follow each position.
Atoms (fractional coordinates):
Mg (0.2500, 0.0015, 0.1320)  1 Te 3.07, 7 Mg 3.07-3.25
Mg (0.2500, 0.2500, 0.6852)  4 Te 3.02-3.22, 6 Mg 3.16-3.25
Mg (0.2500, 0.4985, 0.1320)  1 Te 3.07, 7 Mg 3.07-3.25
Mg (0.7500, 0.5015, 0.8680)  1 Te 3.07, 7 Mg 3.07-3.25
Mg (0.7500, 0.7500, 0.3148)  4 Te 3.02-3.22, 6 Mg 3.16-3.25
Mg (0.7500, 0.9985, 0.8680)  1 Te 3.07, 7 Mg 3.07-3.25
Te (0.2500, 0.7500, 0.5611)  6 Mg 3.02-3.22
Te (0.7500, 0.2500, 0.4389)  6 Mg 3.02-3.22

## ii
The following is a PBE calculation of crystalline Mg3Te at its relaxed geometry, from the Alexandria database.

## Properties
M_tot   0.000 μB/atom
Symmetry   No. 123

Cell lengths 3.9164, 3.9164, 6.2788 Å; angles 90.00, 90.00, 90.00 degrees
Closest atoms and distances in Å follow each position.
Atoms (fractional coordinates):
Mg (0.0000, 0.0000, 0.0000)  2 Te 3.14, 8 Mg 3.17
Mg (0.5000, 0.5000, 0.2453)  6 Mg 3.08-3.20, 4 Te 3.20
Mg (0.5000, 0.5000, 0.7547)  6 Mg 3.08-3.20, 4 Te 3.20
Te (0.0000, 0.0000, 0.5000)  10 Mg 3.14-3.20

Structures ranked by computed energy, the most stable listed first: ii, i.

## i
The following is a PBE calculation of crystalline Mg3Te at its relaxed geometry, from the Alexandria database.

## Properties
M_tot   0.000 μB/atom
Symmetry   No. 166

Cell lengths 5.9314, 5.9314, 5.9314 Å; angles 116.47, 116.47, 116.47 degrees
Closest atoms and distances in Å follow each position.
Atoms (fractional coordinates):
Mg (0.0000, 0.5000, 0.5000)  6 Mg 3.12-3.39, 2 Te 3.12
Mg (0.5000, 0.0000, 0.5000)  2 Te 3.12, 6 Mg 3.12-3.39
Mg (0.5000, 0.5000, 0.0000)  6 Mg 3.12-3.39, 2 Te 3.12
Te (0.0000, 0.0000, 0.0000)  6 Mg 3.12, 2 Te 3.39

## ii
The following is a PBE calculation of crystalline Mg3Te at its relaxed geometry, from the Alexandria database.

## Properties
M_tot   0.000 μB/atom
Symmetry   No. 44

Cell lengths 5.9160, 5.9160, 5.9160 Å; angles 141.48, 65.93, 128.71 degrees
Closest atoms and distances in Å follow each position.
Atoms (fractional coordinates):
Mg (0.0000, 0.0000, 0.0000)  2 Te 3.02, 6 Mg 3.15-3.29
Mg (0.1694, 0.4071, 0.7623)  3 Te 3.15-3.18, 7 Mg 3.15-3.29
Mg (0.6448, 0.4071, 0.2377)  3 Te 3.15-3.18, 7 Mg 3.15-3.29
Te (0.5504, 0.0504, 0.5000)  8 Mg 3.02-3.18

Structures ranked by computed energy, the most stable listed first: ii, i.

## i
The following is a PBE calculation of crystalline Mg3Te at its relaxed geometry, from the Alexandria database.

## Properties
M_tot   0.000 μB/atom
Symmetry   No. 65

Cell lengths 5.2038, 5.2038, 3.8821 Å; angles 90.00, 90.00, 108.89 degrees
Closest atoms and distances in Å follow each position.
Atoms (fractional coordinates):
Mg (0.0000, 0.0000, 0.0000)  2 Te 3.03, 8 Mg 3.25
Mg (0.0000, 0.5000, 0.5000)  6 Mg 3.03-3.25, 4 Te 3.25
Mg (0.5000, 0.0000, 0.5000)  6 Mg 3.03-3.25, 4 Te 3.25
Te (0.5000, 0.5000, 0.0000)  10 Mg 3.03-3.25

## ii
The following is a PBE calculation of crystalline Mg3Te at its relaxed geometry, from the Alexandria database.

## Properties
M_tot   0.000 μB/atom
Symmetry   No. 223

Cell lengths 5.8276, 5.8276, 5.8276 Å; angles 90.00, 90.00, 90.00 degrees
Closest atoms and distances in Å follow each position.
Atoms (fractional coordinates):
Mg (0.0000, 0.2500, 0.5000)  2 Mg 2.91, 4 Te 3.26
Mg (0.0000, 0.7500, 0.5000)  2 Mg 2.91, 4 Te 3.26
Mg (0.2500, 0.5000, 0.0000)  2 Mg 2.91, 4 Te 3.26
Mg (0.5000, 0.0000, 0.2500)  2 Mg 2.91, 4 Te 3.26
Mg (0.5000, 0.0000, 0.7500)  2 Mg 2.91, 4 Te 3.26
Mg (0.7500, 0.5000, 0.0000)  2 Mg 2.91, 4 Te 3.26
Te (0.0000, 0.0000, 0.0000)  12 Mg 3.26
Te (0.5000, 0.5000, 0.5000)  12 Mg 3.26

Structures ranked by computed energy, the most stable listed first: i, ii.

## i
The following is a PBE calculation of crystalline Mg3Te at its relaxed geometry, from the Alexandria database.

## Properties
M_tot   0.000 μB/atom
Symmetry   No. 139

Cell lengths 10.8045, 10.8045, 10.8045 Å; angles 156.69, 156.69, 33.20 degrees
Closest atoms and distances in Å follow each position.
Atoms (fractional coordinates):
Mg (0.0000, 0.5000, 0.5000)  4 Mg 3.09, 4 Te 3.13
Mg (0.1319, 0.1319, 0.0000)  4 Te 3.13, 8 Mg 3.28-3.50
Mg (0.2500, 0.7500, 0.5000)  8 Mg 3.09-3.28
Mg (0.5000, 0.0000, 0.5000)  4 Mg 3.09, 4 Te 3.13
Mg (0.7500, 0.2500, 0.5000)  8 Mg 3.09-3.28
Mg (0.8681, 0.8681, 0.0000)  4 Te 3.13, 8 Mg 3.28-3.50
Te (0.3919, 0.3919, 0.0000)  8 Mg 3.13
Te (0.6081, 0.6081, 0.0000)  8 Mg 3.13

## ii
The following is a PBE calculation of crystalline Mg3Te at its relaxed geometry, from the Alexandria database.

## Properties
M_tot   0.000 μB/atom
Symmetry   No. 12

Cell lengths 5.4736, 5.4736, 5.1695 Å; angles 104.63, 104.63, 41.38 degrees
Closest atoms and distances in Å follow each position.
Atoms (fractional coordinates):
Mg (0.0000, 0.0000, 0.0000)  6 Mg 3.07-3.24, 4 Te 3.23
Mg (0.2418, 0.2418, 0.7559)  7 Mg 3.07-3.32, 3 Te 3.14-3.26
Mg (0.7582, 0.7582, 0.2441)  7 Mg 3.07-3.32, 3 Te 3.14-3.26
Te (0.5000, 0.5000, 0.5000)  10 Mg 3.14-3.26

Structures ranked by computed energy, the most stable listed first: i, ii.

## i
The following is a PBE calculation of crystalline Mg3Te at its relaxed geometry, from the Alexandria database.

## Properties
M_tot   0.000 μB/atom
Symmetry   No. 166

Cell lengths 8.3273, 8.3273, 8.3273 Å; angles 28.11, 28.11, 28.11 degrees
Closest atoms and distances in Å follow each position.
Atoms (fractional coordinates):
Mg (0.0000, 0.0000, 0.0000)  6 Mg 3.23
Mg (0.2400, 0.2400, 0.2400)  3 Te 2.92, 3 Mg 3.23
Mg (0.7600, 0.7600, 0.7600)  3 Te 2.92, 3 Mg 3.23
Te (0.5000, 0.5000, 0.5000)  6 Mg 2.92

## ii
The following is a PBE calculation of crystalline Mg3Te at its relaxed geometry, from the Alexandria database.

## Properties
M_tot   0.000 μB/atom
Symmetry   No. 187

Cell lengths 4.0322, 4.0322, 8.0527 Å; angles 90.00, 90.00, 120.00 degrees
Closest atoms and distances in Å follow each position.
Atoms (fractional coordinates):
Mg (0.0000, 0.0000, 0.0000)  6 Mg 3.23
Mg (0.3333, 0.6667, 0.2789)  3 Te 2.93, 3 Mg 3.23
Mg (0.3333, 0.6667, 0.7211)  3 Te 2.93, 3 Mg 3.23
Te (0.0000, 0.0000, 0.5000)  6 Mg 2.93

Structures ranked by computed energy, the most stable listed first: i, ii.

## i
The following is a PBE calculation of crystalline Mg4Te3 at its relaxed geometry, from the Alexandria database.

## Properties
M_tot   0.000 μB/atom
Symmetry   No. 139

Cell lengths 12.4440, 12.4440, 12.4440 Å; angles 160.92, 160.92, 27.11 degrees
Closest atoms and distances in Å follow each position.
Atoms (fractional coordinates):
Mg (0.0581, 0.0581, 0.0000)  1 Mg 2.81, 1 Te 2.90
Mg (0.3040, 0.3040, 0.0000)  5 Te 2.95-3.05
Mg (0.6960, 0.6960, 0.0000)  5 Te 2.95-3.05
Mg (0.9419, 0.9419, 0.0000)  1 Mg 2.81, 1 Te 2.90
Te (0.1780, 0.1780, 0.0000)  6 Mg 2.90-3.05
Te (0.5000, 0.5000, 0.0000)  8 Mg 3.24
Te (0.8220, 0.8220, 0.0000)  6 Mg 2.90-3.05

## ii
The following is a PBE calculation of crystalline Mg4Te3 at its relaxed geometry, from the Alexandria database.

## Properties
M_tot   0.000 μB/atom
Symmetry   No. 221

Cell lengths 5.8903, 5.8903, 5.8903 Å; angles 90.00, 90.00, 90.00 degrees
Closest atoms and distances in Å follow each position.
Atoms (fractional coordinates):
Mg (0.0000, 0.0000, 0.0000)  6 Te 2.95
Mg (0.0000, 0.5000, 0.5000)  4 Te 2.95
Mg (0.5000, 0.0000, 0.5000)  4 Te 2.95
Mg (0.5000, 0.5000, 0.0000)  4 Te 2.95
Te (0.0000, 0.0000, 0.5000)  6 Mg 2.95
Te (0.0000, 0.5000, 0.0000)  6 Mg 2.95
Te (0.5000, 0.0000, 0.0000)  6 Mg 2.95

## iii
The following is a PBE calculation of crystalline Mg4Te3 at its relaxed geometry, from the Alexandria database.

## Properties
M_tot   0.000 μB/atom
Symmetry   No. 215

Cell lengths 6.1499, 6.1499, 6.1499 Å; angles 90.00, 90.00, 90.00 degrees
Closest atoms and distances in Å follow each position.
Atoms (fractional coordinates):
Mg (0.2171, 0.2171, 0.7829)  3 Te 2.80
Mg (0.2171, 0.7829, 0.2171)  3 Te 2.80
Mg (0.7829, 0.2171, 0.2171)  3 Te 2.80
Mg (0.7829, 0.7829, 0.7829)  3 Te 2.80
Te (0.0000, 0.5000, 0.5000)  4 Mg 2.80
Te (0.5000, 0.0000, 0.5000)  4 Mg 2.80
Te (0.5000, 0.5000, 0.0000)  4 Mg 2.80

Structures ranked by computed energy, the most stable listed first: iii, ii, i.

## i
The following is a PBE calculation of crystalline Mg5Te4 at its relaxed geometry, from the Alexandria database.

## Properties
M_tot   0.000 μB/atom
Symmetry   No. 139

Cell lengths 8.0768, 8.0768, 8.0768 Å; angles 93.75, 93.75, 150.38 degrees
Closest atoms and distances in Å follow each position.
Atoms (fractional coordinates):
Mg (0.0000, 0.0000, 0.0000)  4 Te 3.01, 8 Mg 3.10
Mg (0.3523, 0.3523, 0.7046)  4 Te 2.97, 4 Mg 3.10-3.26
Mg (0.3523, 0.6477, 0.0000)  4 Te 2.97, 4 Mg 3.10-3.26
Mg (0.6477, 0.3523, 0.0000)  4 Te 2.97, 4 Mg 3.10-3.26
Mg (0.6477, 0.6477, 0.2954)  4 Te 2.97, 4 Mg 3.10-3.26
Te (0.0000, 0.2725, 0.2725)  5 Mg 2.97-3.01
Te (0.0000, 0.7275, 0.7275)  5 Mg 2.97-3.01
Te (0.2725, 0.0000, 0.2725)  5 Mg 2.97-3.01
Te (0.7275, 0.0000, 0.7275)  5 Mg 2.97-3.01

## ii
The following is a PBE calculation of crystalline Mg5Te4 at its relaxed geometry, from the Alexandria database.

## Properties
M_tot   0.000 μB/atom
Symmetry   No. 193

Cell lengths 8.3936, 8.3936, 8.1198 Å; angles 90.00, 90.00, 120.00 degrees
Closest atoms and distances in Å follow each position.
Atoms (fractional coordinates):
Mg (0.0000, 0.2485, 0.2500)  5 Te 2.79-3.07
Mg (0.0000, 0.7515, 0.7500)  5 Te 2.79-3.07
Mg (0.2485, 0.0000, 0.2500)  5 Te 2.79-3.07
Mg (0.2485, 0.2485, 0.7500)  5 Te 2.79-3.07
Mg (0.3333, 0.6667, 0.0000)  6 Te 3.23
Mg (0.3333, 0.6667, 0.5000)  6 Te 3.23
Mg (0.6667, 0.3333, 0.0000)  6 Te 3.23
Mg (0.6667, 0.3333, 0.5000)  6 Te 3.23
Mg (0.7515, 0.0000, 0.7500)  5 Te 2.79-3.07
Mg (0.7515, 0.7515, 0.2500)  5 Te 2.79-3.07
Te (0.0000, 0.0000, 0.0000)  6 Mg 2.91
Te (0.0000, 0.0000, 0.5000)  6 Mg 2.91
Te (0.0000, 0.4193, 0.7500)  3 Mg 2.79-3.07
Te (0.0000, 0.5807, 0.2500)  3 Mg 2.79-3.07
Te (0.4193, 0.0000, 0.7500)  3 Mg 2.79-3.07
Te (0.4193, 0.4193, 0.2500)  3 Mg 2.79-3.07
Te (0.5807, 0.0000, 0.2500)  3 Mg 2.79-3.07
Te (0.5807, 0.5807, 0.7500)  3 Mg 2.79-3.07

Structures ranked by computed energy, the most stable listed first: ii, i.